No. 1
Density functional theory data (PBE) for an optimized crystal structure of Ag5Rh4.

Output
energy of formation: 2.04 eV/f.u.
uncorrected energy: -4.62 eV/atom
SG: I4/mmm (139)
V: 16.21 A^3/atom

```
Ag5Rh4
1.0
-4.277 4.277 1.994
4.277 -4.277 1.994
4.277 4.277 -1.994
Ag Rh
5 4
direct
0.000 0.000 0.000
0.332 0.332 0.664
0.332 0.668 0.000
0.668 0.332 0.000
0.668 0.668 0.336
0.000 0.350 0.350
0.000 0.650 0.650
0.350 0.000 0.350
0.650 0.000 0.650
```

***

No. 2
Density functional theory data (PBE) for an optimized crystal structure of EuErRu.

Output
energy of formation: -0.46 eV/f.u.
uncorrected energy: -8.19 eV/atom
SG: I4mm (107)
V: 25.66 A^3/atom

```
EuErRu
1.0
-1.728 1.728 6.445
1.728 -1.728 6.445
1.728 1.728 -6.445
Eu Er Ru
1 1 1
direct
0.000 0.000 0.000
0.258 0.258 0.000
0.645 0.645 0.000
```

***

No. 3
Density functional theory data (PBE) for an optimized crystal structure of TbGa3Cu8.

Output
energy of formation: -1.42 eV/f.u.
uncorrected energy: -3.99 eV/atom
SG: P3m1 (156)
V: 14.51 A^3/atom

```
TbGa3Cu8
1.0
4.939 0.000 0.000
-2.470 4.277 0.000
0.000 0.000 8.240
Tb Ga Cu
1 3 8
direct
0.000 0.000 0.000
0.000 0.000 0.379
0.667 0.333 0.490
0.667 0.333 0.846
0.164 0.329 0.675
0.164 0.836 0.675
0.333 0.667 0.433
0.333 0.667 0.926
0.502 0.004 0.193
0.502 0.498 0.193
0.671 0.836 0.675
0.996 0.498 0.193
```

***

No. 4
Density functional theory data (PBE) for an optimized crystal structure of YSi.

Output
raw formation energy: 0.206 eV/atom
uncorrected energy: -5.74 eV/atom
SG: I-43m (217)
V: 36.43 A^3/atom

```
YSi
1.0
-4.177 4.177 4.177
4.177 -4.177 4.177
4.177 4.177 -4.177
Y Si
4 4
direct
0.000 0.000 0.411
0.000 0.411 0.000
0.411 0.000 0.000
0.589 0.589 0.589
0.000 0.000 0.787
0.000 0.787 0.000
0.213 0.213 0.213
0.787 0.000 0.000
```

***

No. 5
Density functional theory data (PBE) for an optimized crystal structure of La6Ir3Pd.

Output
energy of formation: -7.00 eV/f.u.
uncorrected energy: -6.83 eV/atom
SG: P2_1/m (11)
V: 29.67 A^3/atom

```
La6Ir3Pd
1.0
12.173 0.000 0.000
0.000 4.245 0.000
-4.199 0.000 11.481
La Ir Pd
12 6 2
direct
0.046 0.250 0.388
0.100 0.750 0.949
0.235 0.250 0.773
0.259 0.750 0.276
0.405 0.250 0.569
0.444 0.250 0.105
0.556 0.750 0.895
0.595 0.750 0.431
0.741 0.250 0.724
0.765 0.750 0.227
0.900 0.250 0.051
0.954 0.750 0.612
0.002 0.750 0.209
0.332 0.750 0.942
0.422 0.250 0.340
0.578 0.750 0.660
0.668 0.250 0.058
0.998 0.250 0.791
0.194 0.750 0.558
0.806 0.250 0.442
```

***

No. 6
Density functional theory data (PBE) for an optimized crystal structure of Sb6Se7.

Output
raw formation energy: 0.281 eV/atom
uncorrected energy: -3.50 eV/atom
SG: R-3m (166)
V: 27.73 A^3/atom

```
Sb6Se7
1.0
3.176 1.833 10.319
-3.176 1.833 10.319
0.000 -3.667 10.319
Sb Se
6 7
direct
0.072 0.072 0.072
0.166 0.166 0.166
0.330 0.330 0.330
0.670 0.670 0.670
0.834 0.834 0.834
0.928 0.928 0.928
0.076 0.563 0.563
0.437 0.437 0.924
0.437 0.924 0.437
0.500 0.500 0.500
0.563 0.076 0.563
0.563 0.563 0.076
0.924 0.437 0.437
```

***

No. 7
Density functional theory data (PBE) for an optimized crystal structure of TiZnBr2.

Output
raw formation energy: -0.401 eV/atom
uncorrected energy: -3.53 eV/atom
SG: I-42d (122)
V: 29.77 A^3/atom

```
TiZnBr2
1.0
-4.603 4.603 2.811
4.603 -4.603 2.811
4.603 4.603 -2.811
Ti Zn Br
2 2 4
direct
0.000 0.000 0.000
0.750 0.250 0.500
0.250 0.750 0.500
0.500 0.500 0.000
0.375 0.021 0.146
0.771 0.625 0.646
0.875 0.229 0.854
0.979 0.125 0.354
```

***

No. 8
Density functional theory data (PBE) for an optimized crystal structure of CsNaDyI5.

Output
raw formation energy: -1.386 eV/atom
uncorrected energy: -3.20 eV/atom
SG: C2/c (15)
V: 51.35 A^3/atom

```
CsNaDyI5
1.0
5.084 -7.342 0.000
5.084 7.342 0.000
-4.069 0.000 11.007
Cs Na Dy I
2 2 2 10
direct
0.161 0.839 0.750
0.839 0.161 0.250
0.186 0.814 0.250
0.814 0.186 0.750
0.500 0.500 0.000
0.500 0.500 0.500
0.141 0.250 0.940
0.212 0.597 0.419
0.250 0.141 0.440
0.403 0.788 0.081
0.437 0.563 0.750
0.563 0.437 0.250
0.597 0.212 0.919
0.750 0.859 0.560
0.788 0.403 0.581
0.859 0.750 0.060
```

***

No. 9
Density functional theory data (PBE) for an optimized crystal structure of MgFe2Ag.

Output
energy of formation: 1.23 eV/f.u.
uncorrected energy: -5.03 eV/atom
SG: Pmmm (47)
V: 14.95 A^3/atom

```
MgFe2Ag
1.0
2.743 0.000 0.000
0.000 4.093 0.000
0.000 0.000 5.324
Mg Fe Ag
1 2 1
direct
0.000 0.000 0.000
0.500 0.500 0.240
0.500 0.500 0.760
0.000 0.000 0.500
```

***

No. 10
Density functional theory data (PBE) for an optimized crystal structure of Er2Ag13.

Output
energy of formation: 0.69 eV/f.u.
uncorrected energy: -3.03 eV/atom
SG: R-3m (166)
V: 20.67 A^3/atom

```
Er2Ag13
1.0
3.700 2.136 6.540
-3.700 2.136 6.540
0.000 -4.272 6.540
Er Ag
2 13
direct
0.165 0.165 0.165
0.835 0.835 0.835
0.000 0.000 0.000
0.164 0.164 0.547
0.164 0.547 0.164
0.307 0.690 0.690
0.310 0.310 0.693
0.310 0.693 0.310
0.453 0.836 0.836
0.547 0.164 0.164
0.690 0.307 0.690
0.690 0.690 0.307
0.693 0.310 0.310
0.836 0.453 0.836
0.836 0.836 0.453
```

***

No. 11
Density functional theory data (PBE) for an optimized crystal structure of K3Na2ReO6.

Output
raw formation energy: -1.667 eV/atom
uncorrected energy: -5.68 eV/atom
SG: C2/m (12)
V: 15.02 A^3/atom

```
K3Na2ReO6
1.0
2.973 -5.121 0.000
2.973 5.121 0.000
-1.980 0.000 5.921
K Na Re O
3 2 1 6
direct
0.000 0.000 0.000
0.325 0.675 0.000
0.675 0.325 0.000
0.166 0.834 0.500
0.834 0.166 0.500
0.500 0.500 0.500
0.171 0.438 0.315
0.299 0.299 0.688
0.438 0.171 0.315
0.562 0.829 0.685
0.701 0.701 0.312
0.829 0.562 0.685
```

***

No. 12
Density functional theory data (PBE) for an optimized crystal structure of K2RbNaZn.

Output
energy of formation: 0.54 eV/f.u.
uncorrected energy: -1.04 eV/atom
SG: P4/mmm (123)
V: 56.78 A^3/atom

```
K2RbNaZn
1.0
6.767 0.000 0.000
0.000 6.767 0.000
0.000 0.000 6.200
K Rb Na Zn
2 1 1 1
direct
0.000 0.500 0.000
0.500 0.000 0.000
0.000 0.000 0.500
0.500 0.500 0.500
0.500 0.500 0.000
```

***

No. 13
Density functional theory data (PBE) for an optimized crystal structure of AcSc4Pt3O12.

Output
raw formation energy: -2.271 eV/atom
uncorrected energy: -7.62 eV/atom
SG: Im-3 (204)
V: 12.38 A^3/atom

```
AcSc4Pt3O12
1.0
-3.956 3.956 3.956
3.956 -3.956 3.956
3.956 3.956 -3.956
Ac Sc Pt O
1 4 3 12
direct
0.000 0.000 0.000
0.000 0.000 0.500
0.000 0.500 0.000
0.500 0.000 0.000
0.500 0.500 0.500
0.000 0.500 0.500
0.500 0.000 0.500
0.500 0.500 0.000
0.139 0.833 0.306
0.167 0.306 0.473
0.167 0.694 0.861
0.306 0.139 0.833
0.306 0.473 0.167
0.473 0.167 0.306
0.527 0.833 0.694
0.694 0.527 0.833
0.694 0.861 0.167
0.833 0.306 0.139
0.833 0.694 0.527
0.861 0.167 0.694
```

***

No. 14
Density functional theory data (PBE) for an optimized crystal structure of LiAlZn3Ag.

Output
energy of formation: -0.42 eV/f.u.
uncorrected energy: -2.12 eV/atom
SG: P2_1/m (11)
V: 15.63 A^3/atom

```
LiAlZn3Ag
1.0
6.478 0.000 0.000
0.000 3.836 0.000
-3.048 0.000 7.548
Li Al Zn Ag
2 2 6 2
direct
0.000 0.250 0.122
0.000 0.750 0.878
0.008 0.750 0.367
0.992 0.250 0.633
0.326 0.750 0.209
0.333 0.250 0.963
0.338 0.250 0.453
0.662 0.750 0.547
0.667 0.750 0.037
0.674 0.250 0.791
0.324 0.750 0.705
0.676 0.250 0.295
```

***

No. 15
Density functional theory data (PBE) for an optimized crystal structure of Sb2Pd9Pt.

Output
raw formation energy: -0.274 eV/atom
uncorrected energy: -5.36 eV/atom
SG: P4/mmm (123)
V: 16.23 A^3/atom

```
Sb2Pd9Pt
1.0
4.027 0.000 0.000
0.000 4.027 0.000
0.000 0.000 12.007
Sb Pd Pt
2 9 1
direct
0.000 0.000 0.176
0.000 0.000 0.824
0.000 0.500 0.000
0.000 0.500 0.335
0.000 0.500 0.665
0.500 0.000 0.000
0.500 0.000 0.335
0.500 0.000 0.665
0.500 0.500 0.166
0.500 0.500 0.500
0.500 0.500 0.834
0.000 0.000 0.500
```

***

No. 16
Density functional theory data (PBE) for an optimized crystal structure of Ca2MgCuC.

Output
energy of formation: 5.56 eV/f.u.
uncorrected energy: -2.67 eV/atom
SG: P4/mmm (123)
V: 26.89 A^3/atom

```
Ca2MgCuC
1.0
5.346 0.000 0.000
0.000 5.346 0.000
0.000 0.000 4.704
Ca Mg Cu C
2 1 1 1
direct
0.000 0.500 0.000
0.500 0.000 0.000
0.000 0.000 0.500
0.000 0.000 0.000
0.500 0.500 0.500
```

***

No. 17
Density functional theory data (PBE) for an optimized crystal structure of AlSb2W.

Output
raw formation energy: 0.802 eV/atom
uncorrected energy: -5.43 eV/atom
SG: F-43m (216)
V: 20.33 A^3/atom

```
AlSb2W
1.0
0.000 3.438 3.438
3.438 0.000 3.438
3.438 3.438 0.000
Al Sb W
1 2 1
direct
0.000 0.000 0.000
0.250 0.250 0.250
0.500 0.500 0.500
0.750 0.750 0.750
```

***

No. 18
Density functional theory data (PBE) for an optimized crystal structure of CsTl2PbF6.

Output
raw formation energy: -2.110 eV/atom
uncorrected energy: -4.16 eV/atom
SG: P2_1/c (14)
V: 23.46 A^3/atom

```
CsTl2PbF6
1.0
6.644 0.000 0.000
0.000 7.286 0.000
-6.389 0.000 9.694
Cs Tl Pb F
2 4 2 12
direct
0.000 0.000 0.000
0.000 0.500 0.500
0.224 0.033 0.730
0.224 0.467 0.230
0.776 0.533 0.770
0.776 0.967 0.270
0.500 0.000 0.500
0.500 0.500 0.000
0.168 0.141 0.474
0.168 0.359 0.974
0.258 0.750 0.397
0.258 0.750 0.897
0.421 0.101 0.291
0.421 0.399 0.791
0.579 0.601 0.209
0.579 0.899 0.709
0.742 0.250 0.103
0.742 0.250 0.603
0.832 0.641 0.026
0.832 0.859 0.526
```

***

No. 19
Density functional theory data (PBE) for an optimized crystal structure of TaSiH2Os.

Output
uncorrected energy: -6.45 eV/atom
SG: P4/mmm (123)
V: 13.13 A^3/atom

```
TaSiH2Os
1.0
3.564 0.000 0.000
0.000 3.564 0.000
0.000 0.000 5.170
Ta Si H Os
1 1 2 1
direct
0.000 0.000 0.000
0.500 0.500 0.000
0.000 0.500 0.500
0.500 0.000 0.500
0.000 0.000 0.500
```

***

No. 20
Density functional theory data (PBE) for an optimized crystal structure of Pr12Y2Er5.

Output
energy of formation: 1.98 eV/f.u.
uncorrected energy: -4.80 eV/atom
SG: C2/m (12)
V: 34.60 A^3/atom

```
Pr12Y2Er5
1.0
6.553 -5.864 0.000
6.553 5.864 0.000
-4.197 0.000 8.553
Pr Y Er
12 2 5
direct
0.059 0.548 0.696
0.077 0.077 0.290
0.111 0.673 0.083
0.327 0.889 0.917
0.386 0.386 0.560
0.452 0.941 0.304
0.548 0.059 0.696
0.614 0.614 0.440
0.673 0.111 0.083
0.889 0.327 0.917
0.923 0.923 0.710
0.941 0.452 0.304
0.224 0.776 0.500
0.776 0.224 0.500
0.190 0.190 0.733
0.304 0.304 0.161
0.500 0.500 0.000
0.696 0.696 0.839
0.810 0.810 0.267
```